1.
Material: La8Rh5Au
Method: DFT, PBE
State: optimized geometry

Cell lengths 7.8626, 7.8626, 7.8626 Å; angles 108.92, 110.59, 108.92 degrees
Fractional positions:
La 0.1142 0.7552 0.9928
La 0.0072 0.1214 0.7625
La 0.7294 0.2478 0.3727
La 0.6273 0.3568 0.8751
La 0.5183 0.6432 0.2706
La 0.6410 0.8786 0.8858
La 0.2375 0.2448 0.3590
La 0.1249 0.7522 0.4817
Rh 0.0074 0.3784 0.1221
Rh 0.8779 0.8854 0.2563
Rh 0.7437 0.6216 0.6290
Rh 0.5000 0.0000 0.5000
Rh 0.3710 0.1146 0.9926
Au 0.2500 0.5000 0.7500

Results
The calculation puts the calculated total energy at -6.40 eV/atom. As for the symmetry: I-4 (82). The total magnetization is 0.00 μB/f.u.


2.
Material: La6RuRhAu2
Method: DFT, PBE
State: optimized geometry

Cell lengths 7.1315, 7.9089, 10.8539 Å; angles 90.00, 89.69, 90.00 degrees
Fractional positions:
La 0.3192 0.6825 0.0669
La 0.8192 0.8175 0.5669
La 0.6808 0.3175 0.9331
La 0.1808 0.1825 0.4331
La 0.3247 0.6876 0.4317
La 0.8247 0.8124 0.9317
La 0.6753 0.3124 0.5683
La 0.1753 0.1876 0.0683
La 0.8622 0.5348 0.2476
La 0.3622 0.9652 0.7476
La 0.1378 0.4652 0.7524
La 0.6378 0.0348 0.2524
Ru 0.5000 0.0000 0.5000
Ru 0.0000 0.5000 0.0000
Rh 0.5000 0.0000 0.0000
Rh 0.0000 0.5000 0.5000
Au 0.0503 0.8932 0.2511
Au 0.5503 0.6068 0.7511
Au 0.9497 0.1068 0.7489
Au 0.4497 0.3932 0.2489

Results
The calculation puts the calculated total energy at -5.86 eV/atom. As for the symmetry: P2_1/c (14). The total magnetization is 0.00 μB/f.u.


3.
Material: La2Sb3Rh4Au
Method: DFT, PBE
State: optimized geometry

Cell lengths 4.3844, 4.3844, 11.2431 Å; angles 90.00, 90.00, 90.00 degrees
Fractional positions:
La 0.5000 0.0000 0.2637
La 0.0000 0.5000 0.7363
Sb 0.0000 0.0000 0.5000
Sb 0.5000 0.0000 0.8692
Sb 0.0000 0.5000 0.1308
Rh 0.5000 0.5000 0.0000
Rh 0.0000 0.0000 0.0000
Rh 0.5000 0.0000 0.6433
Rh 0.0000 0.5000 0.3567
Au 0.5000 0.5000 0.5000

Results
Its energy relative to the elements, uncorrected is -782 meV per atom. The calculation puts the calculated total energy at -6.27 eV/atom. As for the symmetry: P-4m2 (115). The total magnetization is 0.00 μB/f.u.


4.
Material: La2Sb4RhAu3
Method: DFT, PBE
State: optimized geometry

Cell lengths 4.7271, 4.7271, 11.1488 Å; angles 90.00, 90.00, 90.00 degrees
Fractional positions:
La 0.5000 0.0000 0.2737
La 0.0000 0.5000 0.7263
Sb 0.5000 0.5000 0.0000
Sb 0.0000 0.0000 0.0000
Sb 0.5000 0.0000 0.6204
Sb 0.0000 0.5000 0.3796
Rh 0.5000 0.5000 0.5000
Au 0.0000 0.0000 0.5000
Au 0.5000 0.0000 0.8573
Au 0.0000 0.5000 0.1427

Results
Its energy relative to the elements, uncorrected is -589 meV per atom. The calculation puts the calculated total energy at -4.94 eV/atom. As for the symmetry: P-4m2 (115). The total magnetization is 0.00 μB/f.u.